This record from the Alexandria database describes Ac3Zn4Ag4 after structural relaxation. The functional is PBE.

Lattice parameters (Å, degrees): 4.223 4.614 14.380 99.10 98.36 90.18
Positions (direct):
Ac (0.000, 0.000, 0.000)
Ac (0.151, 0.650, 0.301)
Ac (0.849, 0.350, 0.699)
Zn (0.251, 0.254, 0.505)
Zn (0.401, 0.901, 0.802)
Zn (0.599, 0.099, 0.198)
Zn (0.749, 0.746, 0.495)
Ag (0.306, 0.806, 0.610)
Ag (0.448, 0.449, 0.898)
Ag (0.552, 0.551, 0.102)
Ag (0.694, 0.194, 0.390)

Calculated values
Uncorrected energy (eV for the cell shown): -31.9
Volume (Å³ per cell): 273.6
D(E_F) (states/eV/cell): 6.19